The following is a DFT calculation (PBE) of crystalline BaInCu2 at its relaxed geometry.

```
BaInCu2
1.0
5.245 0.008 0.011
-0.270 5.238 -0.011
-1.955 -3.128 3.728
Ba Cu In
1 2 1
Cartesian
2.889 -0.249 1.869
0.370 0.390 0.000
2.117 2.232 0.000
0.132 2.366 1.859
```

calculated density = 6.15 g cm⁻³

The following is a DFT calculation (PBE) of crystalline Ba2InCu at its relaxed geometry.

```
Ba2InCu
1.0
3.937 0.066 0.000
-0.065 3.937 0.000
0.000 0.000 9.511
Ba Cu In
2 1 1
Cartesian
0.000 0.000 8.779
1.936 2.001 3.166
0.000 0.000 5.333
1.936 2.001 6.500
```

calculated density = 5.10 g cm⁻³

The following is a DFT calculation (PBE) of crystalline BaInCu2 at its relaxed geometry.

```
BaInCu2
1.0
5.087 0.000 0.000
0.000 5.087 0.000
2.544 2.544 8.982
Ba Cu In
2 4 2
Cartesian
0.000 0.000 0.000
5.087 2.544 4.491
2.543 1.272 2.246
2.544 3.816 2.246
3.816 5.088 6.737
6.359 5.087 6.737
2.544 2.544 0.000
2.544 5.087 4.491
```

calculated density = 5.42 g cm⁻³

The following is a DFT calculation (PBE) of crystalline BaIn5Cu2 at its relaxed geometry.

```
BaIn5Cu2
1.0
-3.315 2.987 0.787
-6.330 -3.036 -1.503
-3.634 -1.986 5.864
Ba Cu In
1 2 5
Cartesian
0.000 0.000 0.000
-9.904 -1.427 3.827
-3.374 -0.609 1.321
-4.982 -2.511 2.181
-6.133 0.001 0.582
-7.145 -2.036 4.567
-8.199 -2.446 1.686
-5.079 0.411 3.462
```

calculated density = 7.06 g cm⁻³

The following is a DFT calculation (PBE) of crystalline Ba2InCu at its relaxed geometry.

```
Ba2InCu
1.0
4.553 -0.009 0.008
2.302 3.928 0.008
2.248 1.285 9.139
Ba Cu In
2 1 1
Cartesian
2.248 1.285 8.872
4.551 2.602 4.844
6.827 3.903 6.866
2.276 1.301 2.289
```

calculated density = 4.60 g cm⁻³

The following is a DFT calculation (PBE) of crystalline BaInCu2 at its relaxed geometry.

```
BaInCu2
1.0
5.189 0.000 0.000
2.595 4.494 0.000
2.595 1.498 4.237
Ba Cu In
1 2 1
Cartesian
5.189 2.996 2.119
0.000 0.000 0.000
2.595 1.498 1.059
7.784 4.494 3.178
```

calculated density = 6.37 g cm⁻³

no.,raw total energy (eV/cell),calculated formation energy (eV per atom)
1,-12.77,0.02
2,-10.71,-0.01
3,-25.60,0.01
4,-25.46,-0.21
5,-10.76,-0.02
6,-11.70,0.29